A plane-wave DFT calculation with PBE was carried out for a relaxed structure of Cs2YAgI6.

As for the electronic total energy: -3.260 eV per atom. Its density of states at the Fermi level is 0.000 states/eV/cell. As for the symmetry: Fm-3m. The uncorrected formation energy is -1.2273 eV per atom.

a b c (Å): 8.610 8.610 8.610
angles (deg): 60.00 60.00 60.00
Atoms (fractional coordinates):
Cs 0.750 0.750 0.750
Cs 0.250 0.250 0.250
Y 0.500 0.500 0.500
Ag 0.000 0.000 0.000
I 0.749 0.251 0.251
I 0.251 0.251 0.749
I 0.251 0.749 0.749
I 0.251 0.749 0.251
I 0.749 0.251 0.749
I 0.749 0.749 0.251

=====

A plane-wave DFT calculation with PBE was carried out for a relaxed structure of GaSnGe2F.

As for the electronic total energy: -3.376 eV per atom. Its density of states at the Fermi level is 3.045 states/eV/cell. As for the symmetry: P4/mmm. The uncorrected formation energy is 0.2508 eV per atom.

a b c (Å): 4.812 5.666 4.812
angles (deg): 90.00 90.00 90.00
Atoms (fractional coordinates):
Ge 0.000 0.000 0.500
Ge 0.500 0.000 0.000
Sn 0.000 0.500 0.000
Ga 0.000 0.000 0.000
F 0.500 0.500 0.500

=====

A plane-wave DFT calculation with PBE was carried out for a relaxed structure of P2RuRhS.

As for the electronic total energy: -5.484 eV per atom. Its density of states at the Fermi level is 4.867 states/eV/cell. As for the symmetry: P4/mmm. The uncorrected formation energy is 0.8310 eV per atom.

a b c (Å): 4.414 4.414 4.818
angles (deg): 90.00 90.00 90.00
Atoms (fractional coordinates):
Ru 0.000 0.000 0.000
S 0.000 0.000 0.500
Rh 0.500 0.500 0.500
P 0.000 0.500 0.000
P 0.500 0.000 0.000

=====

A plane-wave DFT calculation with PBE was carried out for a relaxed structure of Pr4Tl3Au.

As for the electronic total energy: -4.166 eV per atom. As for the energy relative to the elements: -11.1 kcal/mol of atoms. Its density of states at the Fermi level is 7.951 states/eV/cell. As for the symmetry: P4/mmm.

a b c (Å): 3.750 3.750 16.709
angles (deg): 90.00 90.00 90.00
Atoms (fractional coordinates):
Pr 0.000 0.000 0.890
Pr 0.000 0.000 0.110
Pr 0.000 0.000 0.370
Pr 0.000 0.000 0.630
Tl 0.500 0.500 0.241
Tl 0.500 0.500 0.500
Tl 0.500 0.500 0.759
Au 0.500 0.500 0.000

=====

A plane-wave DFT calculation with PBE was carried out for a relaxed structure of Mn2Cr2Ga.

As for the electronic total energy: -7.896 eV per atom. As for the energy relative to the elements: 5.2 kcal/mol of atoms. Its density of states at the Fermi level is 8.374 states/eV/cell. As for the symmetry: P4/mbm.

a b c (Å): 6.960 6.960 2.757
angles (deg): 90.00 90.00 90.00
Each line ends with the local moment (μB).
Atoms (fractional coordinates):
Cr 0.357 0.857 0.000  -2.06
Cr 0.857 0.643 0.000  -2.06
Cr 0.643 0.143 0.000  -2.06
Cr 0.143 0.357 0.000  -2.06
Mn 0.151 0.651 0.500  2.19
Mn 0.651 0.849 0.500  2.19
Mn 0.849 0.349 0.500  2.19
Mn 0.349 0.151 0.500  2.19
Ga 0.000 0.000 0.000  -0.01
Ga 0.500 0.500 0.000  -0.01

=====

A plane-wave DFT calculation with PBE was carried out for a relaxed structure of LiLaBe2.

As for the electronic total energy: -3.253 eV per atom. As for the energy relative to the elements: 7.4 kcal/mol of atoms. Its density of states at the Fermi level is 2.539 states/eV/cell. As for the symmetry: P4mm.

a b c (Å): 2.941 2.938 7.900
angles (deg): 90.00 90.00 90.00
Atoms (fractional coordinates):
Be 0.000 0.000 0.048
Be 0.500 0.500 0.162
La 0.000 0.000 0.457
Li 0.500 0.500 0.833